## 1
## TeSeN2F (PBE)

Data for crystalline TeSeN2F at its relaxed geometry.

Cell lengths 3.6817, 3.6817, 6.5874 Å; angles 90.00, 90.00, 90.00 degrees
Space group P4/mmm (No. 123)
Asymmetric unit:
Te: 0.0000 0.0000 0.0000
Se: 0.0000 0.0000 0.5000
N: 0.0000 0.5000 0.5000
F: 0.5000 0.5000 0.0000

- ρ: 4.72 g/cm3
- Calculated volume: 17.86 A^3/atom

***

## 2
## TeSeN2F (PBE)

Data for crystalline TeSeN2F at its relaxed geometry.

Cell lengths 4.2938, 4.2938, 4.0199 Å; angles 90.00, 90.00, 90.00 degrees
Space group P4/mmm (No. 123)
Asymmetric unit:
Te: 0.0000 0.0000 0.0000
Se: 0.5000 0.5000 0.0000
N: 0.0000 0.5000 0.5000
F: 0.5000 0.5000 0.5000

- ρ: 5.68 g/cm3
- Calculated volume: 14.82 A^3/atom

***

Least stable structure: 2

***

## 1
## TeSe2NF (PBE)

Data for crystalline TeSe2NF at its relaxed geometry.

Cell lengths 4.5909, 4.5909, 4.6530 Å; angles 90.00, 90.00, 90.00 degrees
Space group P4/mmm (No. 123)
Asymmetric unit:
Te: 0.0000 0.0000 0.0000
Se: 0.0000 0.5000 0.5000
N: 0.5000 0.5000 0.0000
F: 0.5000 0.5000 0.5000

- ρ: 5.39 g/cm3
- Calculated volume: 19.61 A^3/atom

***

## 2
## TeSe2NF (PBE)

Data for crystalline TeSe2NF at its relaxed geometry.

Cell lengths 5.4976, 5.4976, 4.0022 Å; angles 90.00, 90.00, 90.00 degrees
Space group P4/mmm (No. 123)
Asymmetric unit:
Te: 0.0000 0.0000 0.0000
Se: 0.0000 0.5000 0.0000
N: 0.0000 0.0000 0.5000
F: 0.5000 0.5000 0.5000

- ρ: 4.37 g/cm3
- Calculated volume: 24.19 A^3/atom

***

Least stable structure: 1